[1]
Computed, not measured: NaHfF2 after structural relaxation at the GGA-PBE level of DFT.

The density comes out at 6.15 g cm⁻³. Its energy relative to the elements, uncorrected is -2.343 eV per atom. As for the space group: R-3m, No. 166. Its density of states at the Fermi level is 0.461 states/eV/atom. The energy above the most stable polymorph in this dataset is 0.0000 eV/atom. Its crystal system is trigonal.

```
data_NaHfF2
_chemical_formula_sum 'Na1 Hf1 F2'
_symmetry_space_group_name_H-M 'P 1'
_symmetry_Int_Tables_number 1
_cell_length_a 6.840
_cell_length_b 6.840
_cell_length_c 6.840
_cell_angle_alpha 28.56
_cell_angle_beta 28.56
_cell_angle_gamma 28.56
loop_
_symmetry_equiv_pos_as_xyz
'x,y,z'
loop_
_atom_site_label
_atom_site_fract_x
_atom_site_fract_y
_atom_site_fract_z
Na1 0.500 0.500 0.500
Hf1 0.000 0.000 0.000
F1 0.896 0.896 0.896
F2 0.104 0.104 0.104
```

[2]
Computed, not measured: Hg3IN after structural relaxation at the GGA-PBE level of DFT.

The density comes out at 6.59 g cm⁻³. Its energy relative to the elements, uncorrected is 0.416 eV per atom. As for the space group: P-1, No. 2. The energy above the most stable polymorph in this dataset is 0.0000 eV/atom. Its crystal system is triclinic.

```
data_Hg3IN
_chemical_formula_sum 'Hg6 I2 N2'
_symmetry_space_group_name_H-M 'P 1'
_symmetry_Int_Tables_number 1
_cell_length_a 10.868
_cell_length_b 10.544
_cell_length_c 6.892
_cell_angle_alpha 126.39
_cell_angle_beta 85.00
_cell_angle_gamma 134.33
loop_
_symmetry_equiv_pos_as_xyz
'x,y,z'
loop_
_atom_site_label
_atom_site_fract_x
_atom_site_fract_y
_atom_site_fract_z
Hg1 0.993 0.472 0.734
Hg2 0.007 0.528 0.266
Hg3 0.701 0.533 0.294
Hg4 0.299 0.467 0.706
Hg5 0.599 0.089 0.322
Hg6 0.401 0.911 0.678
I1 0.290 0.145 0.457
I2 0.710 0.855 0.543
N1 0.312 0.720 0.883
N2 0.688 0.280 0.117
```

[3]
Computed, not measured: ZrAs2Au after structural relaxation at the GGA-PBE level of DFT.

The density comes out at 7.00 g cm⁻³. As for the space group: I-42d, No. 122. Its density of states at the Fermi level is 0.545 states/eV/atom. Its crystal system is tetragonal. The calculation puts the formation energy at -0.1056 eV/atom.

```
data_ZrAs2Au
_chemical_formula_sum 'Zr2 As4 Au2'
_symmetry_space_group_name_H-M 'P 1'
_symmetry_Int_Tables_number 1
_cell_length_a 6.433
_cell_length_b 6.433
_cell_length_c 6.777
_cell_angle_alpha 61.67
_cell_angle_beta 61.67
_cell_angle_gamma 90.00
loop_
_symmetry_equiv_pos_as_xyz
'x,y,z'
loop_
_atom_site_label
_atom_site_fract_x
_atom_site_fract_y
_atom_site_fract_z
As1 0.635 0.125 0.250
As2 0.115 0.625 0.250
As3 0.375 0.365 0.750
As4 0.875 0.885 0.750
Au1 0.000 0.000 0.000
Au2 0.750 0.250 0.500
Zr1 0.500 0.500 0.000
Zr2 0.250 0.750 0.500
```